(1)
A plane-wave DFT calculation with GGA-PBE was carried out for an optimized crystal structure of Eu2CdGe.

a = 3.7701 Å, b = 3.7701 Å, c = 7.8582 Å
α = 90.00°, β = 90.00°, γ = 90.00°
Each line ends with the local moment (μB).
Atoms (fractional coordinates):
Cd: 0.5000 0.5000 0.5000  0.01
Ge: 0.5000 0.5000 0.0000  -0.03
Eu: 0.0000 0.0000 0.7747  6.83
Eu: 0.0000 0.0000 0.2253  6.83

Results
Magnetization in μB per cell: 14.14
Volume in Å³ per cell: 111.7
ΔH_f (0 K) in eV per atom: -0.48
Mass density in g cm⁻³: 7.27

---

(2)
A plane-wave DFT calculation with GGA-PBE was carried out for an optimized crystal structure of EuCdGe.

a = 4.2097 Å, b = 4.6194 Å, c = 4.6194 Å
α = 120.00°, β = 90.00°, γ = 90.00°
Each line ends with the local moment (μB).
Atoms (fractional coordinates):
Eu: 0.6774 0.6667 0.3333  6.84
Cd: 0.1940 0.3333 0.6667  0.01
Ge: 0.1286 0.0000 0.0000  -0.04

Results
Magnetization in μB per cell: 7.12
Volume in Å³ per cell: 77.8
ΔH_f (0 K) in eV per atom: -0.43
Mass density in g cm⁻³: 7.19